Entry 1:
VASP calculation (PBE-GGA) on an optimized crystal structure of BiTePtI2.

```
data_BiTePtI2
_chemical_formula_sum 'Bi1 Te1 Pt1 I2'
_symmetry_space_group_name_H-M 'P 4/m m m'
_symmetry_Int_Tables_number 123
_symmetry_space_group_name_Hall '-P 4 2'
_cell_length_a 5.4018
_cell_length_b 5.4018
_cell_length_c 5.4397
_cell_angle_alpha 90.00
_cell_angle_beta 90.00
_cell_angle_gamma 90.00
loop_
_atom_site_label
_atom_site_fract_x
_atom_site_fract_y
_atom_site_fract_z
Bi1 0.0000 0.0000 0.0000
Te1 0.5000 0.5000 0.0000
Pt1 0.5000 0.5000 0.5000
I1 0.0000 0.5000 0.5000
```

Calculated values
Relative energy among the computed polymorphs = 0.000 eV/atom
DOS at the Fermi energy = 2.80 states/eV per cell
Uncorrected formation energy = 0.201 eV/atom
Magnetic moment = 0.000 μB/cell

***

Entry 2:
VASP calculation (PBE-GGA) on an optimized crystal structure of SrRe2As.

```
data_SrRe2As
_chemical_formula_sum 'Sr1 Re2 As1'
_symmetry_space_group_name_H-M 'P 4 m m'
_symmetry_Int_Tables_number 99
_cell_length_a 3.1087
_cell_length_b 3.1087
_cell_length_c 8.0247
_cell_angle_alpha 90.00
_cell_angle_beta 90.00
_cell_angle_gamma 90.00
loop_
_symmetry_equiv_pos_as_xyz
'x,y,z'
'-y,x,z'
'-x,-y,z'
'y,-x,z'
'-x,y,z'
'y,x,z'
'x,-y,z'
'-y,-x,z'
loop_
_atom_site_label
_atom_site_fract_x
_atom_site_fract_y
_atom_site_fract_z
Sr1 0.0000 0.0000 0.0000
Re1 0.0000 0.0000 0.5168
Re2 0.5000 0.5000 0.7005
As1 0.5000 0.5000 0.3176
```

Calculated values
Formation energy from the elements = 23 kJ/mol of atoms
DOS at the Fermi energy = 4.52 states/eV per cell
Magnetic moment = 0.000 μB/cell

***

Entry 3:
VASP calculation (PBE-GGA) on an optimized crystal structure of Pm12PrNd2.

```
data_Pm12PrNd2
_chemical_formula_sum 'Pm24 Pr2 Nd4'
_symmetry_space_group_name_H-M 'P 4/n b m'
_symmetry_Int_Tables_number 125
_cell_length_a 6.5735
_cell_length_b 6.5735
_cell_length_c 25.5528
_cell_angle_alpha 90.00
_cell_angle_beta 90.00
_cell_angle_gamma 90.00
loop_
_symmetry_equiv_pos_as_xyz
'x,y,z'
'-x,-y,-z'
'-y+1/2,x,z'
'y+1/2,-x,-z'
'-x+1/2,-y+1/2,z'
'x+1/2,y+1/2,-z'
'y,-x+1/2,z'
'-y,x+1/2,-z'
'x,-y+1/2,-z'
'-x,y+1/2,z'
'-y+1/2,-x+1/2,-z'
'y+1/2,x+1/2,z'
'-x+1/2,y,-z'
'x+1/2,-y,z'
'y,x,-z'
'-y,-x,z'
loop_
_atom_site_label
_atom_site_fract_x
_atom_site_fract_y
_atom_site_fract_z
Pm1 0.0652 0.5652 0.1159
Pm2 0.0825 0.5825 0.4385
Pm3 0.2500 0.2500 0.2165
Pm4 0.2500 0.2500 0.3391
Pr1 0.2500 0.7500 0.0000
Nd1 0.2500 0.7500 0.2700
```

Calculated values
Formation energy from the elements = 28 kJ/mol of atoms
DOS at the Fermi energy = 41.41 states/eV per cell
Magnetic moment = 0.000 μB/cell

***

Entry 4:
VASP calculation (PBE-GGA) on an optimized crystal structure of Li2CaIn.

```
data_Li2CaIn
_chemical_formula_sum 'Li2 Ca1 In1'
_symmetry_space_group_name_H-M 'P 4/m m m'
_symmetry_Int_Tables_number 123
_symmetry_space_group_name_Hall '-P 4 2'
_cell_length_a 3.7631
_cell_length_b 3.7631
_cell_length_c 6.9371
_cell_angle_alpha 90.00
_cell_angle_beta 90.00
_cell_angle_gamma 90.00
loop_
_atom_site_label
_atom_site_fract_x
_atom_site_fract_y
_atom_site_fract_z
Li1 0.0000 0.0000 0.1986
Ca1 0.5000 0.5000 0.5000
In1 0.5000 0.5000 0.0000
```

Calculated values
Formation energy from the elements = -15 kJ/mol of atoms
DOS at the Fermi energy = 3.72 states/eV per cell
Magnetic moment = 0.004 μB/cell

***

Entry 5:
VASP calculation (PBE-GGA) on an optimized crystal structure of Tl4H5Cl.

```
data_Tl4H5Cl
_chemical_formula_sum 'Tl8 H10 Cl2'
_symmetry_space_group_name_H-M 'P m m n'
_symmetry_Int_Tables_number 59
_cell_length_a 8.2752
_cell_length_b 8.9975
_cell_length_c 5.6840
_cell_angle_alpha 90.00
_cell_angle_beta 90.00
_cell_angle_gamma 90.00
loop_
_symmetry_equiv_pos_as_xyz
'x,y,z'
'-x,-y,-z'
'-x+1/2,-y+1/2,z'
'x+1/2,y+1/2,-z'
'x+1/2,-y,-z'
'-x+1/2,y,z'
'-x,y+1/2,-z'
'x,-y+1/2,z'
loop_
_atom_site_label
_atom_site_fract_x
_atom_site_fract_y
_atom_site_fract_z
Tl1 0.0143 0.2500 0.0519
Tl2 0.2500 0.0391 0.5678
H1 0.0740 0.5827 0.7803
H2 0.2500 0.2500 0.9562
Cl1 0.2500 0.7500 0.2874
```

Calculated values
DOS at the Fermi energy = 0.77 states/eV per cell
Energy = -2.6244 eV/atom
Magnetic moment = 0.000 μB/cell

***

Entry 6:
VASP calculation (PBE-GGA) on an optimized crystal structure of CaLa4Cr.

```
data_CaLa4Cr
_chemical_formula_sum 'Ca4 La16 Cr4'
_symmetry_space_group_name_H-M 'F -4 3 m'
_symmetry_Int_Tables_number 216
_symmetry_space_group_name_Hall 'F -4 2 3'
_cell_length_a 9.4890
_cell_length_b 9.4890
_cell_length_c 9.4890
_cell_angle_alpha 90.00
_cell_angle_beta 90.00
_cell_angle_gamma 90.00
loop_
_atom_site_label
_atom_site_fract_x
_atom_site_fract_y
_atom_site_fract_z
Ca1 0.0000 0.0000 0.0000
La1 0.1217 0.1217 0.3783
Cr1 0.2500 0.2500 0.7500
```

Calculated values
Formation energy from the elements = 52 kJ/mol of atoms
DOS at the Fermi energy = 38.77 states/eV per cell
Magnetic moment = 18.622 μB/cell

***

Entry 7:
VASP calculation (PBE-GGA) on an optimized crystal structure of La2FeIrC.

```
data_La2FeIrC
_chemical_formula_sum 'La2 Fe1 Ir1 C1'
_symmetry_space_group_name_H-M 'P 4/m m m'
_symmetry_Int_Tables_number 123
_symmetry_space_group_name_Hall '-P 4 2'
_cell_length_a 5.6690
_cell_length_b 5.6690
_cell_length_c 3.8792
_cell_angle_alpha 90.00
_cell_angle_beta 90.00
_cell_angle_gamma 90.00
loop_
_atom_site_label
_atom_site_fract_x
_atom_site_fract_y
_atom_site_fract_z
La1 0.0000 0.5000 0.0000
Fe1 0.0000 0.0000 0.5000
Ir1 0.5000 0.5000 0.0000
C1 0.5000 0.5000 0.5000
```

Calculated values
Relative energy among the computed polymorphs = 0.598 eV/atom
Formation energy from the elements = 39 kJ/mol of atoms
DOS at the Fermi energy = 9.13 states/eV per cell
Magnetic moment = 2.436 μB/cell

***

Entry 8:
VASP calculation (PBE-GGA) on an optimized crystal structure of LaSIN2.

```
data_LaSIN2
_chemical_formula_sum 'La1 S1 I1 N2'
_symmetry_space_group_name_H-M 'P 4/m m m'
_symmetry_Int_Tables_number 123
_symmetry_space_group_name_Hall '-P 4 2'
_cell_length_a 4.2104
_cell_length_b 4.2104
_cell_length_c 7.5075
_cell_angle_alpha 90.00
_cell_angle_beta 90.00
_cell_angle_gamma 90.00
loop_
_atom_site_label
_atom_site_fract_x
_atom_site_fract_y
_atom_site_fract_z
La1 0.0000 0.0000 0.0000
S1 0.5000 0.5000 0.5000
I1 0.0000 0.0000 0.5000
N1 0.0000 0.5000 0.0000
```

Calculated values
Relative energy among the computed polymorphs = 0.370 eV/atom
DOS at the Fermi energy = 5.09 states/eV per cell
Uncorrected formation energy = 0.915 eV/atom
Magnetic moment = 0.184 μB/cell